1.
Compound: Nb2VPbO8
Source: the Alexandria database
Functional: PBE+U
Structure: relaxed

DFT total energy = -8.0333 eV per atom
Total magnetization = 1.00 μB/f.u.

Cell and atoms, written as CIF:
```
data_Nb2VPbO8
_chemical_formula_sum 'Nb4 V2 Pb2 O16'
_cell_length_a 8.147
_cell_length_b 6.338
_cell_length_c 7.052
_cell_angle_alpha 90.00
_cell_angle_beta 101.15
_cell_angle_gamma 90.00
_space_group_name_H-M_alt 'C 1 2/m 1'
_space_group_IT_number 12
loop_
_space_group_symop_operation_xyz
'x,y,z'
'-x,-y,-z'
'-x,y,-z'
'x,-y,z'
'x+1/2,y+1/2,z'
'-x+1/2,-y+1/2,-z'
'-x+1/2,y+1/2,-z'
'x+1/2,-y+1/2,z'
loop_
_atom_site_label
_atom_site_type_symbol
_atom_site_fract_x
_atom_site_fract_y
_atom_site_fract_z
Nb1 Nb 0.075 0.000 0.238
V1 V 0.000 0.500 0.500
Pb1 Pb 0.000 0.500 0.000
O1 O 0.001 0.274 0.297
O2 O 0.164 0.000 0.011
O3 O 0.232 0.500 0.562
```

---

2.
Compound: NbVPb2O6
Source: the Alexandria database
Functional: PBE+U
Structure: relaxed

DFT total energy = -7.3544 eV per atom
Total magnetization = 2.00 μB/f.u.

Cell and atoms, written as CIF:
```
data_NbVPb2O6
_chemical_formula_sum 'Nb2 V2 Pb4 O12'
_cell_length_a 5.776
_cell_length_b 5.739
_cell_length_c 9.856
_cell_angle_alpha 90.00
_cell_angle_beta 125.79
_cell_angle_gamma 90.00
_space_group_name_H-M_alt 'P 1 21/c 1'
_space_group_IT_number 14
loop_
_space_group_symop_operation_xyz
'x,y,z'
'-x,-y,-z'
'-x,y+1/2,-z+1/2'
'x,-y+1/2,z+1/2'
loop_
_atom_site_label
_atom_site_type_symbol
_atom_site_fract_x
_atom_site_fract_y
_atom_site_fract_z
Nb1 Nb 0.000 0.000 0.000
V1 V 0.500 0.000 0.500
Pb1 Pb 0.240 0.006 0.750
O1 O 0.207 0.249 0.469
O2 O 0.225 0.746 0.471
O3 O 0.302 0.004 0.250
```

---

3.
Compound: NbV2PbO8
Source: the Alexandria database
Functional: PBE+U
Structure: relaxed

DFT total energy = -7.6146 eV per atom
Total magnetization = 1.01 μB/f.u.

Cell and atoms, written as CIF:
```
data_NbV2PbO8
_chemical_formula_sum 'Nb1 V2 Pb1 O8'
_cell_length_a 5.6826
_cell_length_b 5.6826
_cell_length_c 6.8901
_cell_angle_alpha 90.00
_cell_angle_beta 90.00
_cell_angle_gamma 120.00
_space_group_name_H-M_alt 'P -3 m 1'
_space_group_IT_number 164
_space_group_name_Hall '-P 3 2"'
loop_
_atom_site_label
_atom_site_type_symbol
_atom_site_fract_x
_atom_site_fract_y
_atom_site_fract_z
Nb1 Nb 0.0000 0.0000 0.0000
V1 V 0.3333 0.6667 0.2657
Pb1 Pb 0.0000 0.0000 0.5000
O1 O 0.1613 0.3227 0.1806
O2 O 0.3333 0.6667 0.5081
```